Here is a relaxed structure of LaMg2Br from the Alexandria database. Energies are from PBE.

abc: 10.2310 10.2310 10.2310
angles: 20.25 20.25 20.25
Closest atoms and distances in Å follow each position.
Positions (direct):
La 0.0000 0.0000 0.0000  6 Mg 3.54, 6 La 3.60
Mg 0.2379 0.2379 0.2379  3 Br 2.98
Mg 0.7621 0.7621 0.7621  3 Br 2.98
Br 0.5000 0.5000 0.5000  6 Mg 2.98

Results
**DOS at the Fermi energy**: 2.8 states/eV/f.u.
**Space group**: R-3m (166)
**ΔE to the lowest computed polymorph**: 102 meV per atom
**ρ**: 3.96 g cm⁻³
**Calculated total energy**: -11.344 eV/f.u.



Here is a relaxed structure of La2MgBr2N2 from the Alexandria database. Energies are from PBE.

abc: 9.3906 9.3906 9.3906
angles: 154.43 154.43 36.48
Closest atoms and distances in Å follow each position.
Positions (direct):
La 0.0864 0.0864 0.0000  4 N 2.59
La 0.9136 0.9136 0.0000  4 N 2.59
Mg 0.5000 0.5000 0.0000  4 N 2.08
Br 0.3281 0.3281 0.0000  1 Mg 3.07, 4 La 3.31
Br 0.6719 0.6719 0.0000  1 Mg 3.07, 4 La 3.31
N 0.0000 0.5000 0.5000  2 Mg 2.08
N 0.5000 0.0000 0.5000  2 Mg 2.08

Results
**Space group**: I4/mmm (139)
**ρ**: 5.28 g cm⁻³
**Calculated total energy**: -41.915 eV/f.u.